Computed, not measured: crystalline LaRuPb2 at its relaxed geometry at the PBE level of DFT.

Geometry as extended XYZ:
```
4
Lattice="5.2239 -0.1092 0.0000 0.0826 5.2243 0.0000 -2.6532 -2.5576 3.7040" Properties=species:S:1:pos:R:3 pbc="T T T"
La 2.6119 -0.0546 1.8520
Ru 2.6532 2.5576 0.0000
Pb 0.0413 2.6122 1.8520
Pb 0.0000 0.0000 0.0000
```

Properties
V   101 Å³/cell
E_form   0.10 eV per atom



Computed, not measured: crystalline LaRu3Pb at its relaxed geometry at the PBE level of DFT.

Geometry as extended XYZ:
```
5
Lattice="-0.6798 1.3318 4.6752 4.4027 -1.8327 1.1622 2.0609 4.3545 -0.9407" Properties=species:S:1:pos:R:3 pbc="T T T"
Ru -0.3399 0.6659 2.3376
Ru 1.0305 2.1772 -0.4704
Ru 2.2014 -0.9163 0.5811
La 0.0000 0.0000 0.0000
Pb 2.8919 1.9268 2.4484
```

Properties
V   118 Å³/cell
E above lowest polymorph   0.340 eV/atom
E_form   1.56 eV per atom



Computed, not measured: crystalline La3RuPb at its relaxed geometry at the PBE level of DFT.

Geometry as extended XYZ:
```
10
Lattice="4.5056 0.0000 6.1902 -2.2528 3.9020 6.1902 -2.2528 -3.9020 6.1902" Properties=species:S:1:pos:R:3 pbc="T T T"
Ru 0.0000 0.0000 18.5014
La 0.7435 -2.1729 10.7650
La -1.5093 -1.7290 7.6699
La 1.5101 1.7303 10.7650
La -2.2535 0.4426 10.7650
La -0.7427 2.1716 7.6699
Pb 0.0000 0.0000 13.8612
La 2.2521 -0.4426 7.6699
Pb 0.0000 0.0000 4.5758
Ru 0.0000 0.0000 9.2161
```

Properties
V   326 Å³/cell
E above lowest polymorph   0.000 eV/atom
E_form   -0.45 eV per atom



Computed, not measured: crystalline La3RuPb at its relaxed geometry at the PBE level of DFT.

Geometry as extended XYZ:
```
10
Lattice="-1.2820 -2.9890 -5.4444 6.1494 -1.3915 -0.6840 1.2175 -9.7440 1.3691" Properties=species:S:1:pos:R:3 pbc="T T T"
La 3.0479 -8.4159 0.2090
La 5.5536 -3.8307 -1.0783
Ru 4.9003 -6.6629 -1.1896
Pb 1.4464 -5.8355 -4.5241
Ru 0.0000 0.0000 0.0000
La 6.0778 -9.1015 -0.1281
La 4.9219 -5.3034 -3.7609
La 4.1851 -8.6184 -3.6412
La 1.8998 -5.5060 -1.1182
Pb 0.9228 -9.0877 -2.6154
```

Properties
V   356 Å³/cell
E above lowest polymorph   0.463 eV/atom
E_form   0.02 eV per atom



Computed, not measured: crystalline La4RuPb2 at its relaxed geometry at the PBE level of DFT.

Geometry as extended XYZ:
```
14
Lattice="6.7028 0.0000 -0.7373 0.0000 7.1154 0.0000 -3.3295 0.0000 9.9607" Properties=species:S:1:pos:R:3 pbc="T T T"
Ru 2.8811 1.7788 7.7680
La 1.0459 3.5685 7.0276
Pb 3.1812 5.3365 5.0138
La 2.3274 0.0108 2.1959
Pb 4.4698 5.3365 0.0633
La -0.6720 5.3365 3.9326
La 1.0459 7.1046 7.0276
Pb 0.1922 1.7788 4.2097
La -2.1495 5.3365 8.8776
Ru 0.4922 5.3365 1.4554
La 5.5229 1.7788 0.3458
Pb -1.0964 1.7788 9.1602
La 2.3274 3.5469 2.1959
La 4.0454 1.7788 5.2909
```

Properties
V   458 Å³/cell
E above lowest polymorph   0.036 eV/atom
E_form   -0.46 eV per atom



Computed, not measured: crystalline La2RuPb at its relaxed geometry at the PBE level of DFT.

Geometry as extended XYZ:
```
4
Lattice="-1.4257 -2.2593 -2.2895 -1.4135 -1.8081 2.6667 -7.4216 5.1388 -0.4496" Properties=species:S:1:pos:R:3 pbc="T T T"
Pb -4.1243 2.8558 -0.2498
La -3.5951 -0.5274 0.0568
Ru -6.8156 1.7026 -0.1382
La -6.8582 4.7487 -0.4154
```

Properties
V   112 Å³/cell
E_form   -0.02 eV per atom



Computed, not measured: crystalline La2RuPb at its relaxed geometry at the PBE level of DFT.

Geometry as extended XYZ:
```
4
Lattice="5.8413 0.0055 -0.0024 1.5454 5.6332 0.0024 -3.0501 -3.6620 3.3775" Properties=species:S:1:pos:R:3 pbc="T T T"
Ru 1.0943 2.3953 1.6900
Pb 3.2423 -0.4186 1.6876
La 3.3081 2.5253 0.0000
La 0.3853 0.2941 0.0000
```

Properties
V   111 Å³/cell
E_form   -0.31 eV per atom



Computed, not measured: crystalline La3RuPb at its relaxed geometry at the PBE level of DFT.

Geometry as extended XYZ:
```
10
Lattice="-6.4302 -2.8457 -6.3922 6.1615 -5.2756 -3.8502 0.1851 -2.2335 3.3574" Properties=species:S:1:pos:R:3 pbc="T T T"
Ru 2.5964 -6.6537 -4.7498
Ru -0.4841 -4.0159 -2.8248
Pb -2.3880 -6.9444 -7.0958
La -2.2755 -5.6625 -3.8227
La 0.5778 -8.1057 -5.6059
La -2.1193 -3.9657 -0.2749
La 4.6168 -5.2007 -3.8948
La 1.3361 -6.2991 -2.0172
La 1.3091 -2.3678 -1.8276
Pb -5.0089 -3.9323 -4.9474
```

Properties
V   312 Å³/cell
E above lowest polymorph   0.036 eV/atom
E_form   -0.41 eV per atom



Computed, not measured: crystalline LaRuPb2 at its relaxed geometry at the PBE level of DFT.

Geometry as extended XYZ:
```
4
Lattice="-4.2301 1.7052 4.2463 1.5223 -0.7043 6.0015 1.5746 2.7213 -5.3802" Properties=species:S:1:pos:R:3 pbc="T T T"
La 0.7055 1.3201 3.5008
Pb -0.0186 0.0069 0.0703
Ru -1.3273 0.4906 5.0231
Pb -1.8467 2.4051 1.3973
```

Properties
V   105 Å³/cell
E_form   -0.01 eV per atom



Computed, not measured: crystalline La2RuPb at its relaxed geometry at the PBE level of DFT.

Geometry as extended XYZ:
```
4
Lattice="5.6132 -0.0272 -0.0183 3.4046 4.4630 -0.0183 3.4046 1.6747 4.1369" Properties=species:S:1:pos:R:3 pbc="T T T"
La 0.0910 0.0448 0.0300
Ru 9.8932 4.8663 3.2655
La 2.8475 1.4006 0.9399
Pb 5.8018 2.8538 1.9150
```

Properties
V   104 Å³/cell
E_form   -0.22 eV per atom



Computed, not measured: crystalline LaRuPb2 at its relaxed geometry at the PBE level of DFT.

Geometry as extended XYZ:
```
4
Lattice="-0.6817 -6.1660 6.3303 -0.5226 -8.3065 3.0472 2.7857 -6.9859 4.6898" Properties=species:S:1:pos:R:3 pbc="T T T"
La 1.2250 -16.6221 10.8968
Ru 0.7866 -10.6731 6.9968
Pb 1.5777 -21.4080 14.0342
Pb 0.3643 -4.9429 3.2403
```

Properties
V   114 Å³/cell
E_form   0.06 eV per atom



Computed, not measured: crystalline La3RuPb at its relaxed geometry at the PBE level of DFT.

Geometry as extended XYZ:
```
10
Lattice="-1.8179 0.3095 -3.7534 7.6027 -2.9023 -3.9216 -0.3631 -9.0084 -0.5669" Properties=species:S:1:pos:R:3 pbc="T T T"
La 2.0917 -4.9176 -3.1112
Ru 0.5444 -7.1754 -2.5482
La 0.9243 -8.3057 -5.1557
Ru 4.5286 -4.1222 -4.2243
Pb -0.1828 -2.5164 -4.1410
Pb 4.3456 -8.6260 -4.5083
La -0.6390 -0.4245 -1.4182
La -1.6541 -5.7355 -3.6949
La 4.2153 -5.7840 -6.5399
La 3.0232 -2.1510 -5.6631
```

Properties
V   324 Å³/cell
E above lowest polymorph   0.049 eV/atom
E_form   -0.40 eV per atom



Computed, not measured: crystalline La6RuPb2 at its relaxed geometry at the PBE level of DFT.

Geometry as extended XYZ:
```
18
Lattice="-1.2657 0.8324 -6.4374 -0.7621 -8.7265 -0.9785 -10.3195 0.6297 2.4220" Properties=species:S:1:pos:R:3 pbc="T T T"
La -6.5848 -0.5959 -2.9213
Ru -5.1597 0.3148 1.2110
La -10.7709 -0.5433 -1.9653
La -5.0676 -2.2964 -0.0722
La -5.7625 -6.6685 -2.0726
Pb -9.1198 -2.1547 -4.5069
Ru -1.0139 -3.9471 -3.7080
La -8.6498 -3.8011 -1.2597
La -11.4305 -4.5121 -3.9205
La -3.6975 -3.4633 -3.7342
Pb -3.2275 -5.1097 -0.4870
La -4.4617 -7.5800 -6.1245
La -1.5764 -6.7212 -3.0286
La -7.8856 0.3155 1.1306
La -7.2797 -4.9681 -4.9217
Pb -3.1165 -0.4728 -2.2286
La -0.9167 -2.7524 -1.0734
Pb -9.2308 -6.7917 -2.7653
```

Properties
V   619 Å³/cell
E_form   -0.38 eV per atom



Computed, not measured: crystalline La3RuPb at its relaxed geometry at the PBE level of DFT.

Geometry as extended XYZ:
```
10
Lattice="-0.4278 6.0616 2.9480 -4.1348 -1.6883 5.0665 4.6762 -0.9290 4.7840" Properties=species:S:1:pos:R:3 pbc="T T T"
La 3.1769 2.0244 7.4341
La -3.0633 1.4199 5.3644
La 1.5828 4.0443 4.6169
Ru 0.0852 2.5832 9.5989
Pb 0.0568 1.7222 6.3993
La -1.5090 4.6030 6.7818
La -1.4692 -0.5999 8.1816
Pb 0.0000 0.0000 0.0000
Ru 0.0284 0.8611 3.1996
La 1.6226 -1.1587 6.0168
```

Properties
V   300 Å³/cell
E above lowest polymorph   0.228 eV/atom
E_form   -0.22 eV per atom



Computed, not measured: crystalline La3RuPb2 at its relaxed geometry at the PBE level of DFT.

Geometry as extended XYZ:
```
12
Lattice="-4.7340 2.0923 -4.1726 -4.0993 -3.8527 2.7190 -0.9659 4.3823 8.5897" Properties=species:S:1:pos:R:3 pbc="T T T"
Pb -3.6091 2.2924 1.2311
La -4.2935 -0.6608 3.1636
La -2.4732 -0.3230 -0.5968
Ru -5.4587 0.9965 -3.2283
La -6.3602 -1.4373 -0.8567
La -1.0137 0.7219 2.8883
Ru -3.3747 -2.7568 1.7747
La -8.7856 1.9000 4.2479
Pb -6.8057 0.8730 1.5796
La -5.5058 3.2827 3.9726
Pb -6.1901 0.3295 5.9051
Pb -2.9935 1.7489 5.5565
```

Properties
V   372 Å³/cell
E_form   -0.38 eV per atom



Computed, not measured: crystalline La2RuPb at its relaxed geometry at the PBE level of DFT.

Geometry as extended XYZ:
```
4
Lattice="7.0050 -0.0051 -0.0100 6.1052 3.4347 -0.0100 1.7591 0.4602 4.6104" Properties=species:S:1:pos:R:3 pbc="T T T"
La 3.7393 0.9782 1.1386
Pb 6.7336 1.7615 2.5809
La 2.3782 0.6221 4.3578
Ru 11.2119 2.9329 3.4187
```

Properties
V   111 Å³/cell
E_form   -0.27 eV per atom



Computed, not measured: crystalline LaRuPb2 at its relaxed geometry at the PBE level of DFT.

Geometry as extended XYZ:
```
4
Lattice="-5.6425 -7.5242 1.7503 -4.3097 -8.4159 -1.4544 -2.4435 -9.1230 1.5220" Properties=species:S:1:pos:R:3 pbc="T T T"
La -9.2967 -18.7973 1.3634
Pb -6.3955 -12.9313 0.9379
Ru -3.0989 -6.2658 0.4545
Pb -12.1979 -24.6633 1.7889
```

Properties
V   104 Å³/cell
E_form   0.15 eV per atom



Computed, not measured: crystalline La12Ru6Pb at its relaxed geometry at the PBE level of DFT.

Geometry as extended XYZ:
```
19
Lattice="8.4455 0.0000 -2.9859 -4.2228 7.3140 -2.9859 0.0000 0.0000 8.9578" Properties=species:S:1:pos:R:3 pbc="T T T"
La 3.4369 1.4098 0.7036
Ru 0.9918 3.6570 5.1802
La 3.7252 3.6327 3.6895
La 2.0973 6.4523 -2.9661
Ru 5.7743 2.6874 0.7917
Ru 3.6630 0.9696 3.7776
La 6.6366 1.4098 2.9661
La 0.3164 2.2715 3.0058
La 0.7859 5.9042 2.2824
La 5.5062 2.2715 -2.2824
La 3.9063 5.0425 -0.0199
La 0.4975 3.6813 -0.7036
La -1.2834 5.0425 5.2683
La -2.4138 5.9042 0.0199
La 2.1254 0.8617 5.9521
Ru -1.5516 4.6267 2.1942
Pb 0.0000 0.0000 0.0000
Ru 0.5598 6.3444 -0.7917
Ru 3.2310 3.6570 -2.1942
```

Properties
V   553 Å³/cell
E_form   -0.28 eV per atom



Computed, not measured: crystalline La3RuPb at its relaxed geometry at the PBE level of DFT.

Geometry as extended XYZ:
```
10
Lattice="6.5978 0.0002 0.0195 -0.0007 10.9333 -0.0009 -1.6111 0.0002 4.3009" Properties=species:S:1:pos:R:3 pbc="T T T"
La 1.8509 6.6778 0.5933
La 3.2230 1.2112 1.1013
Ru 2.5337 9.4107 0.8462
Pb 5.3067 6.6764 1.8882
Pb 4.7535 1.2099 4.1272
La 3.3871 8.9645 3.6186
Ru 2.5412 3.9446 0.8454
La 0.0761 3.4977 2.3776
La 0.0724 9.8562 2.3755
La 3.3906 4.3897 3.6207
```

Properties
V   311 Å³/cell
E above lowest polymorph   0.026 eV/atom
E_form   -0.42 eV per atom



Computed, not measured: crystalline La4RuPb2 at its relaxed geometry at the PBE level of DFT.

Geometry as extended XYZ:
```
7
Lattice="-2.5825 -4.0762 0.1768 -0.1176 -3.0326 -5.6978 5.3119 -6.1954 0.6899" Properties=species:S:1:pos:R:3 pbc="T T T"
Pb 2.5216 -7.4546 -3.1614
La -0.6957 -8.3160 -4.0770
Ru 0.0000 0.0000 0.0000
La 3.3075 -4.9882 -0.7540
La -0.6111 -2.5381 -1.5048
Pb 0.0903 -5.8496 -1.6697
La 3.2230 -10.7661 -3.3263
```

Properties
V   223 Å³/cell
E above lowest polymorph   0.000 eV/atom
E_form   -0.50 eV per atom